Entry 1:
# SmZrPt2 (PBE, relaxed)
# crystal system	tetragonal
# E	-29.41	eV per formula unit
# DFT formation energy	-1.02	eV per atom
# total moment	0.0	μB/f.u.
data_SmZrPt2
_space_group_name_H-M_alt 'P 4/m m m'
_space_group_IT_number 123
_space_group_name_Hall '-P 4 2'
_cell_length_a 3.402
_cell_length_b 3.402
_cell_length_c 7.220
_cell_angle_alpha 90.00
_cell_angle_beta 90.00
_cell_angle_gamma 90.00
loop_
_atom_site_label
_atom_site_fract_x
_atom_site_fract_y
_atom_site_fract_z
Sm1 0.000 0.000 0.000
Zr1 0.000 0.000 0.500
Pt1 0.500 0.500 0.289

---

Entry 2:
# LiDy4Ru2 (PBE, relaxed)
# crystal system	triclinic
# E	-40.11	eV per formula unit
# DFT formation energy	-0.18	eV per atom
# total moment	0.0	μB/f.u.
data_LiDy4Ru2
_space_group_name_H-M_alt 'P 1'
_space_group_IT_number 1
_cell_length_a 7.200
_cell_length_b 7.208
_cell_length_c 7.609
_cell_angle_alpha 73.50
_cell_angle_beta 73.51
_cell_angle_gamma 72.40
loop_
_space_group_symop_operation_xyz
'x,y,z'
loop_
_atom_site_label
_atom_site_fract_x
_atom_site_fract_y
_atom_site_fract_z
Li1 0.000 0.000 0.000
Li2 0.004 0.999 0.486
Dy1 0.307 0.302 0.354
Dy2 0.309 0.306 0.829
Dy3 0.347 0.807 0.707
Dy4 0.348 0.786 0.213
Dy5 0.781 0.776 0.835
Dy6 0.786 0.784 0.370
Dy7 0.789 0.345 0.215
Dy8 0.810 0.344 0.706
Ru1 0.097 0.601 0.569
Ru2 0.510 0.505 0.990
Ru3 0.531 0.530 0.484
Ru4 0.605 0.094 0.570

---

Entry 3:
# ZrCuRh2F (PBE, relaxed)
# uncorrected formation energy	-26	meV/atom
# crystal system	tetragonal
# E	-29.35	eV per formula unit
# total moment	0.0	μB/f.u.
data_ZrCuRh2F
_space_group_name_H-M_alt 'P 4/m m m'
_space_group_IT_number 123
_space_group_name_Hall '-P 4 2'
_cell_length_a 4.752
_cell_length_b 4.752
_cell_length_c 3.597
_cell_angle_alpha 90.00
_cell_angle_beta 90.00
_cell_angle_gamma 90.00
loop_
_atom_site_label
_atom_site_fract_x
_atom_site_fract_y
_atom_site_fract_z
Zr1 0.000 0.000 0.000
Cu1 0.500 0.500 0.500
Rh1 0.000 0.500 0.500
F1 0.500 0.500 0.000

---

Entry 4:
# YTcN3 (PBE, relaxed)
# uncorrected formation energy	-478	meV/atom
# crystal system	monoclinic
# E	-44.20	eV per formula unit
# total moment	0.0	μB/f.u.
data_YTcN3
_space_group_name_H-M_alt 'P 1 21/c 1'
_space_group_IT_number 14
_cell_length_a 6.999
_cell_length_b 5.255
_cell_length_c 8.566
_cell_angle_alpha 90.00
_cell_angle_beta 114.13
_cell_angle_gamma 90.00
loop_
_space_group_symop_operation_xyz
'x,y,z'
'-x,-y,-z'
'-x,y+1/2,-z+1/2'
'x,-y+1/2,z+1/2'
loop_
_atom_site_label
_atom_site_fract_x
_atom_site_fract_y
_atom_site_fract_z
Y1 0.216 0.249 0.128
Tc1 0.407 0.720 0.501
N1 0.146 0.696 0.491
N2 0.324 0.092 0.408
N3 0.441 0.553 0.316

---

Entry 5:
# BaBeAs (PBE, relaxed)
# crystal system	cubic
# E	-8.66	eV per formula unit
# DFT formation energy	0.54	eV per atom
# total moment	0.0	μB/f.u.
data_BaBeAs
_space_group_name_H-M_alt 'F -4 3 m'
_space_group_IT_number 216
_space_group_name_Hall 'F -4 2 3'
_cell_length_a 7.329
_cell_length_b 7.329
_cell_length_c 7.329
_cell_angle_alpha 90.00
_cell_angle_beta 90.00
_cell_angle_gamma 90.00
loop_
_atom_site_label
_atom_site_fract_x
_atom_site_fract_y
_atom_site_fract_z
Ba1 0.000 0.000 0.000
Be1 0.250 0.250 0.250
As1 0.250 0.250 0.750

---

Entry 6:
# InPdAu (PBE, relaxed)
# crystal system	cubic
# E	-11.90	eV per formula unit
# DFT formation energy	-0.23	eV per atom
# total moment	0.0	μB/f.u.
data_InPdAu
_space_group_name_H-M_alt 'F -4 3 m'
_space_group_IT_number 216
_space_group_name_Hall 'F -4 2 3'
_cell_length_a 6.346
_cell_length_b 6.346
_cell_length_c 6.346
_cell_angle_alpha 90.00
_cell_angle_beta 90.00
_cell_angle_gamma 90.00
loop_
_atom_site_label
_atom_site_fract_x
_atom_site_fract_y
_atom_site_fract_z
In1 0.000 0.000 0.000
Pd1 0.250 0.250 0.250
Au1 0.000 0.000 0.500

---

Entry 7:
# Sr3HfF (PBE, relaxed)
# uncorrected formation energy	449	meV/atom
# crystal system	cubic
# E	-14.63	eV per formula unit
# total moment	4.8	μB/f.u.
data_Sr3HfF
_space_group_name_H-M_alt 'P m -3 m'
_space_group_IT_number 221
_space_group_name_Hall '-P 4 2 3'
_cell_length_a 6.472
_cell_length_b 6.472
_cell_length_c 6.472
_cell_angle_alpha 90.00
_cell_angle_beta 90.00
_cell_angle_gamma 90.00
loop_
_atom_site_label
_atom_site_fract_x
_atom_site_fract_y
_atom_site_fract_z
Sr1 0.000 0.000 0.500
Hf1 0.000 0.000 0.000
F1 0.500 0.500 0.500

---

Entry 8:
# Ca2SiAu2 (PBE, relaxed)
# uncorrected formation energy	-517	meV/atom
# crystal system	tetragonal
# E	-18.57	eV per formula unit
# total moment	0.0	μB/f.u.
data_Ca2SiAu2
_space_group_name_H-M_alt 'P 4/m b m'
_space_group_IT_number 127
_space_group_name_Hall '-P 4 2ab'
_cell_length_a 7.131
_cell_length_b 7.131
_cell_length_c 4.511
_cell_angle_alpha 90.00
_cell_angle_beta 90.00
_cell_angle_gamma 90.00
loop_
_atom_site_label
_atom_site_fract_x
_atom_site_fract_y
_atom_site_fract_z
Ca1 0.174 0.326 0.000
Si1 0.000 0.000 0.500
Au1 0.141 0.641 0.500

---

Entry 9:
# Pr2SmErTm5 (PBE, relaxed)
# crystal system	tetragonal
# E	-38.77	eV per formula unit
# DFT formation energy	0.27	eV per atom
# total moment	0.0	μB/f.u.
data_Pr2SmErTm5
_space_group_name_H-M_alt 'I 4/m c m'
_space_group_IT_number 140
_space_group_name_Hall '-I 4 2c'
_cell_length_a 8.643
_cell_length_b 8.643
_cell_length_c 15.488
_cell_angle_alpha 90.00
_cell_angle_beta 90.00
_cell_angle_gamma 90.00
loop_
_atom_site_label
_atom_site_fract_x
_atom_site_fract_y
_atom_site_fract_z
Pr1 0.118 0.382 0.000
Sm1 0.000 0.000 0.250
Er1 0.000 0.500 0.250
Tm1 0.000 0.000 0.000
Tm2 0.212 0.288 0.360

---

Entry 10:
# SrFeCu2Mo (PBE, relaxed)
# crystal system	tetragonal
# E	-22.10	eV per formula unit
# DFT formation energy	1.41	eV per atom
# total moment	6.3	μB/f.u.
data_SrFeCu2Mo
_space_group_name_H-M_alt 'P 4/m m m'
_space_group_IT_number 123
_space_group_name_Hall '-P 4 2'
_cell_length_a 4.616
_cell_length_b 4.616
_cell_length_c 5.035
_cell_angle_alpha 90.00
_cell_angle_beta 90.00
_cell_angle_gamma 90.00
loop_
_atom_site_label
_atom_site_fract_x
_atom_site_fract_y
_atom_site_fract_z
Sr1 0.000 0.000 0.000
Fe1 0.000 0.000 0.500
Cu1 0.000 0.500 0.500
Mo1 0.500 0.500 0.000

---

Entry 11:
# GaH2PtAu (PBE, relaxed)
# crystal system	tetragonal
# E	-18.87	eV per formula unit
# total moment	0.0	μB/f.u.
data_GaH2PtAu
_space_group_name_H-M_alt 'P 4/m m m'
_space_group_IT_number 123
_space_group_name_Hall '-P 4 2'
_cell_length_a 3.531
_cell_length_b 3.531
_cell_length_c 5.644
_cell_angle_alpha 90.00
_cell_angle_beta 90.00
_cell_angle_gamma 90.00
loop_
_atom_site_label
_atom_site_fract_x
_atom_site_fract_y
_atom_site_fract_z
Ga1 0.000 0.000 0.000
H1 0.000 0.500 0.500
Pt1 0.500 0.500 0.000
Au1 0.500 0.500 0.500

---

Entry 12:
# KTa2Tl2O7 (PBE, relaxed)
# uncorrected formation energy	-2083	meV/atom
# crystal system	monoclinic
# E	-89.23	eV per formula unit
# total moment	0.0	μB/f.u.
data_KTa2Tl2O7
_space_group_name_H-M_alt 'C 1 2/m 1'
_space_group_IT_number 12
_cell_length_a 5.723
_cell_length_b 5.642
_cell_length_c 11.163
_cell_angle_alpha 90.00
_cell_angle_beta 98.93
_cell_angle_gamma 90.00
loop_
_space_group_symop_operation_xyz
'x,y,z'
'-x,-y,-z'
'-x,y,-z'
'x,-y,z'
'x+1/2,y+1/2,z'
'-x+1/2,-y+1/2,-z'
'-x+1/2,y+1/2,-z'
'x+1/2,-y+1/2,z'
loop_
_atom_site_label
_atom_site_fract_x
_atom_site_fract_y
_atom_site_fract_z
K1 0.000 0.000 0.000
Ta1 0.073 0.500 0.184
Tl1 0.183 0.000 0.395
O1 0.000 0.500 0.000
O2 0.095 0.500 0.366
O3 0.198 0.252 0.817

---

Entry 13:
# Ta4Mo3W2 (PBE, relaxed)
# crystal system	trigonal
# E	-107.23	eV per formula unit
# DFT formation energy	-0.16	eV per atom
# total moment	0.0	μB/f.u.
data_Ta4Mo3W2
_space_group_name_H-M_alt 'P -3 m 1'
_space_group_IT_number 164
_space_group_name_Hall '-P 3 2"'
_cell_length_a 4.5528
_cell_length_b 4.5528
_cell_length_c 8.4392
_cell_angle_alpha 90.00
_cell_angle_beta 90.00
_cell_angle_gamma 120.00
loop_
_atom_site_label
_atom_site_fract_x
_atom_site_fract_y
_atom_site_fract_z
Ta1 0.0000 0.0000 0.1706
Ta2 0.3333 0.6667 0.3890
Mo1 0.0000 0.0000 0.5000
Mo2 0.3333 0.6667 0.0494
W1 0.3333 0.6667 0.7269

---

Entry 14:
# Pr3Nd2Y8 (PBE, relaxed)
# crystal system	monoclinic
# E	-72.57	eV per formula unit
# DFT formation energy	0.23	eV per atom
# total moment	0.0	μB/f.u.
data_Pr3Nd2Y8
_space_group_name_H-M_alt 'C 1 2/m 1'
_space_group_IT_number 12
_cell_length_a 14.891
_cell_length_b 9.296
_cell_length_c 7.007
_cell_angle_alpha 90.00
_cell_angle_beta 108.43
_cell_angle_gamma 90.00
loop_
_space_group_symop_operation_xyz
'x,y,z'
'-x,-y,-z'
'-x,y,-z'
'x,-y,z'
'x+1/2,y+1/2,z'
'-x+1/2,-y+1/2,-z'
'-x+1/2,y+1/2,-z'
'x+1/2,-y+1/2,z'
loop_
_atom_site_label
_atom_site_fract_x
_atom_site_fract_y
_atom_site_fract_z
Pr1 0.000 0.000 0.000
Pr2 0.000 0.176 0.500
Nd1 0.216 0.000 0.423
Y1 0.084 0.500 0.730
Y2 0.119 0.320 0.176
Y3 0.192 0.000 0.898

---

Entry 15:
# BaZr2 (PBE, relaxed)
# crystal system	tetragonal
# E	-14.27	eV per formula unit
# DFT formation energy	1.58	eV per atom
# total moment	0.0	μB/f.u.
data_BaZr2
_space_group_name_H-M_alt 'P 4/m m m'
_space_group_IT_number 123
_space_group_name_Hall '-P 4 2'
_cell_length_a 5.377
_cell_length_b 5.377
_cell_length_c 3.392
_cell_angle_alpha 90.00
_cell_angle_beta 90.00
_cell_angle_gamma 90.00
loop_
_atom_site_label
_atom_site_fract_x
_atom_site_fract_y
_atom_site_fract_z
Ba1 0.000 0.000 0.000
Zr1 0.000 0.500 0.500

---

Entry 16:
# KTc3Ir (PBE, relaxed)
# crystal system	cubic
# E	-32.69	eV per formula unit
# DFT formation energy	1.67	eV per atom
# total moment	3.7	μB/f.u.
data_KTc3Ir
_space_group_name_H-M_alt 'P m -3 m'
_space_group_IT_number 221
_space_group_name_Hall '-P 4 2 3'
_cell_length_a 4.853
_cell_length_b 4.853
_cell_length_c 4.853
_cell_angle_alpha 90.00
_cell_angle_beta 90.00
_cell_angle_gamma 90.00
loop_
_atom_site_label
_atom_site_fract_x
_atom_site_fract_y
_atom_site_fract_z
K1 0.000 0.000 0.000
Tc1 0.000 0.500 0.500
Ir1 0.500 0.500 0.500

---

Entry 17:
# Er2Tm12Zr (PBE, relaxed)
# crystal system	triclinic
# E	-70.25	eV per formula unit
# DFT formation energy	0.07	eV per atom
# total moment	0.0	μB/f.u.
data_Er2Tm12Zr
_space_group_name_H-M_alt 'P -1'
_space_group_IT_number 2
_cell_length_a 6.397
_cell_length_b 6.397
_cell_length_c 24.153
_cell_angle_alpha 82.59
_cell_angle_beta 86.90
_cell_angle_gamma 64.96
loop_
_space_group_symop_operation_xyz
'x,y,z'
'-x,-y,-z'
loop_
_atom_site_label
_atom_site_fract_x
_atom_site_fract_y
_atom_site_fract_z
Er1 0.001 0.134 0.229
Er2 0.499 0.366 0.771
Tm1 0.000 0.061 0.374
Tm2 0.000 0.408 0.690
Tm3 0.001 0.663 0.170
Tm4 0.248 0.553 0.901
Tm5 0.249 0.024 0.959
Tm6 0.251 0.477 0.042
Tm7 0.251 0.948 0.099
Tm8 0.252 0.282 0.438
Tm9 0.253 0.222 0.562
Tm10 0.499 0.562 0.372
Tm11 0.499 0.837 0.830
Tm12 0.500 0.092 0.310
Zr1 0.269 0.731 0.500

---

Entry 18:
# Sr2LaCl (PBE, relaxed)
# uncorrected formation energy	-562	meV/atom
# crystal system	tetragonal
# E	-12.39	eV per formula unit
# total moment	0.0	μB/f.u.
data_Sr2LaCl
_space_group_name_H-M_alt 'P 4 m m'
_space_group_IT_number 99
_cell_length_a 3.780
_cell_length_b 3.780
_cell_length_c 10.655
_cell_angle_alpha 90.00
_cell_angle_beta 90.00
_cell_angle_gamma 90.00
loop_
_space_group_symop_operation_xyz
'x,y,z'
'-y,x,z'
'-x,-y,z'
'y,-x,z'
'-x,y,z'
'y,x,z'
'x,-y,z'
'-y,-x,z'
loop_
_atom_site_label
_atom_site_fract_x
_atom_site_fract_y
_atom_site_fract_z
Sr1 0.000 0.000 0.000
Sr2 0.500 0.500 0.311
La1 0.500 0.500 0.707
Cl1 0.000 0.000 0.517

---

Entry 19:
# Cr2ReSe (PBE, relaxed)
# uncorrected formation energy	484	meV/atom
# crystal system	monoclinic
# E	-33.24	eV per formula unit
# total moment	0.0	μB/f.u.
data_Cr2ReSe
_space_group_name_H-M_alt 'C 1 2/m 1'
_space_group_IT_number 12
_cell_length_a 8.312
_cell_length_b 2.882
_cell_length_c 4.637
_cell_angle_alpha 90.00
_cell_angle_beta 93.39
_cell_angle_gamma 90.00
loop_
_space_group_symop_operation_xyz
'x,y,z'
'-x,-y,-z'
'-x,y,-z'
'x,-y,z'
'x+1/2,y+1/2,z'
'-x+1/2,-y+1/2,-z'
'-x+1/2,y+1/2,-z'
'x+1/2,-y+1/2,z'
loop_
_atom_site_label
_atom_site_fract_x
_atom_site_fract_y
_atom_site_fract_z
Cr1 0.245 0.000 0.247
Re1 0.000 0.500 0.000
Se1 0.000 0.000 0.500

---

Entry 20:
# CaTi2ZnFe (PBE, relaxed)
# crystal system	tetragonal
# E	-22.29	eV per formula unit
# DFT formation energy	1.05	eV per atom
# total moment	0.5	μB/f.u.
data_CaTi2ZnFe
_space_group_name_H-M_alt 'P 4/m m m'
_space_group_IT_number 123
_space_group_name_Hall '-P 4 2'
_cell_length_a 4.706
_cell_length_b 4.706
_cell_length_c 5.178
_cell_angle_alpha 90.00
_cell_angle_beta 90.00
_cell_angle_gamma 90.00
loop_
_atom_site_label
_atom_site_fract_x
_atom_site_fract_y
_atom_site_fract_z
Ca1 0.000 0.000 0.000
Ti1 0.000 0.500 0.500
Zn1 0.000 0.000 0.500
Fe1 0.500 0.500 0.000